(1)
Material: Dy5Er5Th2
Method: DFT, PBE
State: relaxed

```
12
Lattice="4.897 0.000 1.105 2.633 10.243 -0.267 0.819 -1.225 7.776" Properties=species:S:1:pos:R:3 pbc="T T T"
Dy 1.726 4.509 3.755
Dy 5.989 6.527 7.669
Dy 4.536 9.822 2.701
Dy 3.812 -0.804 5.913
Dy 2.360 2.491 0.945
Er 4.263 2.053 3.913
Er 6.166 1.674 6.884
Er 2.183 7.344 1.730
Er 4.085 6.965 4.701
Er 0.000 0.000 0.000
Th 3.626 4.100 6.738
Th 4.722 4.918 1.876
```

## Properties
* magnetization: 0.00 μB/atom
* E_form: 30.9 kJ/mol of formula units
* calculated volume: 375.6 Å³ per cell
* calculated total energy: -60.34 eV per cell
* theoretical density: 9.34 g cm⁻³

(2)
Material: TiInNiRu
Method: DFT, PBE
State: relaxed

```
4
Lattice="-2.996 -1.821 -2.685 -3.798 -1.537 1.649 -3.787 2.112 -0.838" Properties=species:S:1:pos:R:3 pbc="T T T"
Ru 0.000 0.000 0.000
Ti -2.645 -0.311 -0.469
Ni -5.290 -0.623 -0.937
In -7.935 -0.934 -1.406
```

## Properties
* magnetization: 0.00 μB/atom
* E_form: -118.3 kJ/mol of formula units
* calculated volume: 60.9 Å³ per cell
* calculated total energy: -26.92 eV per cell
* theoretical density: 8.79 g cm⁻³

(3)
Material: CeSiSn
Method: DFT, PBE
State: relaxed

```
6
Lattice="-2.930 -1.603 -2.149 0.118 -3.560 2.494 -5.691 1.701 6.488" Properties=species:S:1:pos:R:3 pbc="T T T"
Ce -1.704 -3.301 2.950
Ce -6.798 -0.161 3.883
Sn -3.434 -0.509 3.226
Sn -5.068 -2.953 3.607
Si -5.877 -0.775 6.754
Si -2.625 -2.688 0.079
```

## Properties
* magnetization: 0.16 μB/atom
* calculated volume: 147.2 Å³ per cell
* formation energy from raw total energies: -0.524 eV per atom
* calculated total energy: -33.87 eV per cell
* theoretical density: 6.47 g cm⁻³

(4)
Material: Na2PuHg3
Method: DFT, PBE
State: relaxed

```
6
Lattice="-0.269 -3.028 -1.846 -1.619 -1.542 2.765 -10.883 3.621 -4.354" Properties=species:S:1:pos:R:3 pbc="T T T"
Na -10.005 0.730 -3.164
Na -2.767 -1.678 -0.269
Pu -6.386 -0.474 -1.717
Hg 0.000 0.000 0.000
Hg -7.275 2.420 -2.910
Hg -3.609 1.201 -1.444
```

## Properties
* magnetization: 0.98 μB/atom
* E_form: -106.0 kJ/mol of formula units
* calculated volume: 155.1 Å³ per cell
* calculated total energy: -18.97 eV per cell
* theoretical density: 9.54 g cm⁻³

(5)
Material: Ce2Pu3O8
Method: DFT, PBE
State: relaxed

```
13
Lattice="4.111 -5.770 0.000 4.111 5.770 0.000 0.000 0.000 3.935" Properties=species:S:1:pos:R:3 pbc="T T T"
Ce 4.111 -2.638 1.968
Ce 4.111 2.638 1.968
Pu 0.000 0.000 1.968
Pu 2.321 0.000 0.000
Pu 5.902 0.000 0.000
O 4.111 1.421 0.000
O 4.111 -1.421 0.000
O 4.111 -4.421 0.000
O 4.111 4.421 0.000
O 6.207 -1.377 1.968
O 2.016 -1.377 1.968
O 6.207 1.377 1.968
O 2.016 1.377 1.968
```

## Properties
* magnetization: 0.88 μB/atom
* calculated volume: 186.7 Å³ per cell
* formation energy from raw total energies: -2.842 eV per atom
* calculated total energy: -131.47 eV per cell
* theoretical density: 10.14 g cm⁻³

(6)
Material: SmGe3Ir5
Method: DFT, PBE
State: relaxed

```
18
Lattice="-2.055 -3.273 1.169 4.482 1.385 4.783 -8.302 7.241 5.682" Properties=species:S:1:pos:R:3 pbc="T T T"
Sm -5.056 3.634 8.262
Sm -0.819 1.719 3.373
Ge -5.196 6.662 9.520
Ge -0.430 -0.021 6.159
Ge -1.929 3.812 7.284
Ge -3.947 1.541 4.351
Ge -5.446 5.374 5.476
Ge -0.679 -1.309 2.114
Ir -2.522 1.312 6.214
Ir -6.307 6.617 7.443
Ir -4.151 3.621 2.841
Ir 0.000 0.000 0.000
Ir 1.857 0.813 5.540
Ir -7.732 4.540 6.094
Ir -5.953 2.989 4.877
Ir 0.432 -1.265 4.192
Ir -3.353 4.041 5.421
Ir 0.078 2.364 6.758
```

## Properties
* magnetization: 0.00 μB/atom
* E_form: -303.5 kJ/mol of formula units
* calculated volume: 319.7 Å³ per cell
* calculated total energy: -132.04 eV per cell
* theoretical density: 13.81 g cm⁻³

(7)
Material: Pr4GeOsBr2
Method: DFT, PBE
State: relaxed

```
8
Lattice="-3.834 -1.720 0.512 1.269 -0.621 7.416 -3.370 7.144 -1.234" Properties=species:S:1:pos:R:3 pbc="T T T"
Pr -2.258 0.392 1.910
Pr -3.677 4.410 4.784
Pr -2.342 5.533 1.052
Pr 0.241 0.989 5.130
Ge 0.000 0.000 0.000
Os -1.283 -1.171 3.964
Br -3.602 2.712 -0.361
Br -1.051 3.261 3.091
```

## Properties
* magnetization: 0.00 μB/atom
* calculated volume: 244.1 Å³ per cell
* formation energy from raw total energies: -0.904 eV per atom
* calculated total energy: -45.54 eV per cell
* theoretical density: 6.71 g cm⁻³

(8)
Material: CeDyEr3
Method: DFT, PBE
State: relaxed

```
10
Lattice="4.917 0.000 2.336 2.458 5.663 1.168 0.129 0.000 12.263" Properties=species:S:1:pos:R:3 pbc="T T T"
Ce 2.458 4.177 1.168
Ce 4.917 1.486 2.336
Dy 2.523 1.769 7.299
Dy 4.981 3.894 8.467
Er 3.708 0.000 4.876
Er 1.338 0.000 9.723
Er 1.334 1.842 3.526
Er 3.712 1.842 11.073
Er 6.170 3.821 12.241
Er 3.792 3.821 4.694
```

## Properties
* magnetization: 0.26 μB/atom
* E_form: 205.0 kJ/mol of formula units
* calculated volume: 339.7 Å³ per cell
* calculated total energy: -44.20 eV per cell
* theoretical density: 7.86 g cm⁻³

(9)
Material: SrScGa
Method: DFT, PBE
State: relaxed

```
6
Lattice="6.627 -0.001 -0.006 0.000 4.379 0.005 0.005 -2.196 6.074" Properties=species:S:1:pos:R:3 pbc="T T T"
Sc 4.324 0.525 2.180
Sc 1.010 0.526 2.182
Sr 2.667 -1.667 4.754
Sr 5.982 0.521 5.679
Ga 5.982 2.713 3.065
Ga 2.665 2.717 1.300
```

## Properties
* magnetization: 0.28 μB/atom
* E_form: -75.8 kJ/mol of formula units
* calculated volume: 176.4 Å³ per cell
* calculated total energy: -23.65 eV per cell
* theoretical density: 3.81 g cm⁻³

(10)
Material: AlTlBi
Method: DFT, PBE
State: relaxed

```
3
Lattice="3.412 0.000 0.000 0.000 5.337 0.000 0.000 -2.668 4.622" Properties=species:S:1:pos:R:3 pbc="T T T"
Tl 2.275 0.000 3.081
Bi 0.570 2.668 1.541
Al 0.567 0.000 0.000
```

## Properties
* magnetization: 0.00 μB/atom
* E_form: 57.8 kJ/mol of formula units
* calculated volume: 84.2 Å³ per cell
* calculated total energy: -9.39 eV per cell
* theoretical density: 8.69 g cm⁻³

(11)
Material: PrYPt
Method: DFT, PBE
State: relaxed

```
12
Lattice="-3.560 -4.748 0.088 2.229 -1.791 -6.482 6.149 -4.538 3.933" Properties=species:S:1:pos:R:3 pbc="T T T"
Pr 4.579 -6.018 2.260
Pr 0.239 -5.058 -4.720
Pr 1.458 -7.420 0.506
Pr 3.360 -3.657 -2.966
Y -1.622 -5.303 -1.372
Y 3.460 -7.277 -2.669
Y 6.441 -5.774 -1.088
Y 1.359 -3.800 0.208
Pt 3.712 -5.327 -0.469
Pt 1.107 -5.749 -1.992
Pt 2.405 -3.082 -5.692
Pt 2.413 -7.995 3.232
```

## Properties
* magnetization: 0.00 μB/atom
* E_form: -210.3 kJ/mol of formula units
* calculated volume: 360.7 Å³ per cell
* calculated total energy: -77.86 eV per cell
* theoretical density: 7.82 g cm⁻³

(12)
Material: ScIn2N
Method: DFT, PBE
State: relaxed

```
8
Lattice="8.748 0.000 0.000 0.000 8.748 0.000 4.374 4.374 2.167" Properties=species:S:1:pos:R:3 pbc="T T T"
Sc 0.000 0.000 0.000
Sc 8.748 4.374 1.083
N 4.374 4.374 0.000
N 4.374 8.748 1.083
In 5.586 2.187 0.542
In 3.162 6.561 0.542
In 6.561 7.536 1.625
In 10.935 9.960 1.625
```

## Properties
* magnetization: 0.00 μB/atom
* calculated volume: 165.8 Å³ per cell
* formation energy from raw total energies: -0.063 eV per atom
* calculated total energy: -40.78 eV per cell
* theoretical density: 5.78 g cm⁻³